Record 1
First-principles (GGA-PBE) data for a relaxed Cr2AsW crystal, as listed in the Alexandria database.

Calculated values
DFT formation energy = 129 meV per atom
V = 54.3 Å³/cell

abc: 3.114 3.114 5.604
angles: 90.00 90.00 90.00
Atoms (fractional coordinates):
Cr  0.000  0.000  0.241
Cr  0.000  0.000  0.759
As  0.500  0.500  0.000
W  0.500  0.500  0.500


Record 2
First-principles (GGA-PBE) data for a relaxed CrAs2W crystal, as listed in the Alexandria database.

Calculated values
DFT formation energy = 433 meV per atom
V = 123.3 Å³/cell

abc: 3.934 3.934 7.965
angles: 90.00 90.00 90.00
Atoms (fractional coordinates):
Cr  0.000  0.000  0.000
Cr  0.500  0.500  0.500
As  0.000  0.000  0.500
As  0.000  0.500  0.250
As  0.500  0.000  0.750
As  0.500  0.500  0.000
W  0.000  0.500  0.750
W  0.500  0.000  0.250


Record 3
First-principles (GGA-PBE) data for a relaxed CrAsW2 crystal, as listed in the Alexandria database.

Calculated values
DFT formation energy = 355 meV per atom
V = 119.9 Å³/cell

abc: 3.737 3.737 8.587
angles: 90.00 90.00 90.00
Atoms (fractional coordinates):
Cr  0.000  0.000  0.000
Cr  0.500  0.500  0.500
As  0.000  0.000  0.500
As  0.500  0.500  0.000
W  0.000  0.500  0.250
W  0.000  0.500  0.750
W  0.500  0.000  0.250
W  0.500  0.000  0.750


Record 4
First-principles (GGA-PBE) data for a relaxed Cr2AsW crystal, as listed in the Alexandria database.

Calculated values
DFT formation energy = 764 meV per atom
V = 244.4 Å³/cell

abc: 6.850 6.850 5.210
angles: 90.00 90.00 90.00
Atoms (fractional coordinates):
Cr  0.241  0.250  0.125
Cr  0.250  0.741  0.375
Cr  0.250  0.759  0.875
Cr  0.259  0.250  0.625
Cr  0.741  0.750  0.625
Cr  0.750  0.241  0.875
Cr  0.750  0.259  0.375
Cr  0.759  0.750  0.125
As  0.000  0.000  0.000
As  0.000  0.500  0.250
As  0.500  0.000  0.750
As  0.500  0.500  0.500
W  0.000  0.000  0.500
W  0.000  0.500  0.750
W  0.500  0.000  0.250
W  0.500  0.500  0.000


Record 5
First-principles (GGA-PBE) data for a relaxed Cr2AsW crystal, as listed in the Alexandria database.

Calculated values
DFT formation energy = 219 meV per atom
V = 55.2 Å³/cell

abc: 2.808 4.235 4.789
angles: 90.00 104.23 90.00
Atoms (fractional coordinates):
Cr  0.000  0.000  0.000
Cr  0.318  0.500  0.788
As  0.325  0.000  0.540
W  0.798  0.500  0.272


Record 6
First-principles (GGA-PBE) data for a relaxed CrAsW2 crystal, as listed in the Alexandria database.

Calculated values
DFT formation energy = 429 meV per atom
V = 236.8 Å³/cell

abc: 6.186 6.186 6.186
angles: 90.00 90.00 90.00
Atoms (fractional coordinates):
Cr  0.000  0.000  0.000
Cr  0.000  0.500  0.500
Cr  0.500  0.000  0.500
Cr  0.500  0.500  0.000
As  0.250  0.250  0.750
As  0.250  0.750  0.250
As  0.750  0.250  0.250
As  0.750  0.750  0.750
W  0.000  0.000  0.500
W  0.000  0.500  0.000
W  0.250  0.250  0.250
W  0.250  0.750  0.750
W  0.500  0.000  0.000
W  0.500  0.500  0.500
W  0.750  0.250  0.750
W  0.750  0.750  0.250


Record 7
First-principles (GGA-PBE) data for a relaxed Zr2CrAsW crystal, as listed in the Alexandria database.

Calculated values
DFT formation energy = 1322 meV per atom
V = 122.1 Å³/cell

abc: 5.093 5.093 4.708
angles: 90.00 90.00 90.00
Atoms (fractional coordinates):
Zr  0.000  0.500  0.000
Zr  0.500  0.000  0.000
Cr  0.000  0.000  0.500
As  0.500  0.500  0.500
W  0.500  0.500  0.000


Record 8
First-principles (GGA-PBE) data for a relaxed YCrAs3 crystal, as listed in the Alexandria database.

Calculated values
DFT formation energy = -672 meV per atom
V = 380.9 Å³/cell

abc: 12.031 5.655 5.598
angles: 90.00 90.00 90.00
Atoms (fractional coordinates):
Y  0.188  0.005  0.250
Y  0.188  0.495  0.750
Y  0.812  0.505  0.250
Y  0.812  0.995  0.750
Cr  0.411  0.750  0.000
Cr  0.411  0.750  0.500
Cr  0.589  0.250  0.000
Cr  0.589  0.250  0.500
As  0.002  0.750  0.000
As  0.002  0.750  0.500
As  0.283  0.501  0.250
As  0.283  0.999  0.750
As  0.432  0.107  0.250
As  0.432  0.393  0.750
As  0.568  0.607  0.250
As  0.568  0.893  0.750
As  0.717  0.001  0.250
As  0.717  0.499  0.750
As  0.998  0.250  0.000
As  0.998  0.250  0.500


Record 9
First-principles (GGA-PBE) data for a relaxed YCrAs crystal, as listed in the Alexandria database.

Calculated values
DFT formation energy = -501 meV per atom
V = 63.2 Å³/cell

abc: 4.290 4.290 3.966
angles: 90.00 90.00 120.00
Atoms (fractional coordinates):
Y  0.000  0.000  0.000
Cr  0.667  0.333  0.500
As  0.333  0.667  0.500


Record 10
First-principles (GGA-PBE) data for a relaxed YCr2As crystal, as listed in the Alexandria database.

Calculated values
DFT formation energy = 21 meV per atom
V = 139.9 Å³/cell

abc: 8.784 3.255 5.007
angles: 90.00 102.29 90.00
Atoms (fractional coordinates):
Y  0.000  0.000  0.000
Y  0.500  0.500  0.000
Cr  0.236  0.000  0.643
Cr  0.264  0.500  0.357
Cr  0.736  0.500  0.643
Cr  0.764  0.000  0.357
As  0.000  0.500  0.500
As  0.500  0.000  0.500


Record 11
First-principles (GGA-PBE) data for a relaxed YCrAs3 crystal, as listed in the Alexandria database.

Calculated values
DFT formation energy = 1248 meV per atom
V = 150.6 Å³/cell

abc: 5.320 5.320 5.320
angles: 90.00 90.00 90.00
Atoms (fractional coordinates):
Y  0.000  0.000  0.000
Cr  0.500  0.500  0.500
As  0.000  0.000  0.500
As  0.000  0.500  0.000
As  0.500  0.000  0.000


Record 12
First-principles (GGA-PBE) data for a relaxed YCr2As crystal, as listed in the Alexandria database.

Calculated values
DFT formation energy = -124 meV per atom
V = 78.0 Å³/cell

abc: 3.505 3.956 5.804
angles: 90.00 104.28 90.00
Atoms (fractional coordinates):
Y  0.000  0.000  0.000
Cr  0.223  0.500  0.545
Cr  0.688  0.000  0.491
As  0.582  0.500  0.200


Record 13
First-principles (GGA-PBE) data for a relaxed YCr2As crystal, as listed in the Alexandria database.

Calculated values
DFT formation energy = 137 meV per atom
V = 149.3 Å³/cell

abc: 5.460 5.971 4.580
angles: 90.00 90.00 90.00
Atoms (fractional coordinates):
Y  0.000  0.000  0.000
Y  0.500  0.500  0.000
Cr  0.000  0.338  0.500
Cr  0.000  0.662  0.500
Cr  0.500  0.162  0.500
Cr  0.500  0.838  0.500
As  0.000  0.500  0.000
As  0.500  0.000  0.000


Record 14
First-principles (GGA-PBE) data for a relaxed YCr2As crystal, as listed in the Alexandria database.

Calculated values
DFT formation energy = 192 meV per atom
V = 310.9 Å³/cell

abc: 4.180 4.180 17.788
angles: 90.00 90.00 90.00
Atoms (fractional coordinates):
Y  0.000  0.000  0.000
Y  0.000  0.500  0.250
Y  0.500  0.000  0.750
Y  0.500  0.500  0.500
Cr  0.070  0.250  0.625
Cr  0.250  0.570  0.875
Cr  0.250  0.930  0.375
Cr  0.430  0.250  0.125
Cr  0.570  0.750  0.125
Cr  0.750  0.070  0.375
Cr  0.750  0.430  0.875
Cr  0.930  0.750  0.625
As  0.000  0.000  0.500
As  0.000  0.500  0.750
As  0.500  0.000  0.250
As  0.500  0.500  0.000


Record 15
First-principles (GGA-PBE) data for a relaxed YCrAs4 crystal, as listed in the Alexandria database.

Calculated values
DFT formation energy = 112 meV per atom
V = 125.0 Å³/cell

abc: 5.612 5.612 5.612
angles: 60.00 60.00 60.00
Atoms (fractional coordinates):
Y  0.000  0.000  0.000
Cr  0.250  0.250  0.250
As  0.129  0.624  0.624
As  0.624  0.129  0.624
As  0.624  0.624  0.129
As  0.624  0.624  0.624


Record 16
First-principles (GGA-PBE) data for a relaxed YCr2As crystal, as listed in the Alexandria database.

Calculated values
DFT formation energy = 203 meV per atom
V = 157.6 Å³/cell

abc: 4.090 4.090 9.420
angles: 90.00 90.00 90.00
Atoms (fractional coordinates):
Y  0.000  0.000  0.000
Y  0.500  0.500  0.500
Cr  0.000  0.500  0.250
Cr  0.000  0.500  0.750
Cr  0.500  0.000  0.250
Cr  0.500  0.000  0.750
As  0.000  0.000  0.500
As  0.500  0.500  0.000


Record 17
First-principles (GGA-PBE) data for a relaxed YCr2As crystal, as listed in the Alexandria database.

Calculated values
DFT formation energy = -20 meV per atom
V = 69.4 Å³/cell

abc: 3.185 3.185 6.841
angles: 90.00 90.00 90.00
Atoms (fractional coordinates):
Y  0.000  0.000  0.000
Cr  0.000  0.000  0.515
Cr  0.500  0.500  0.689
As  0.500  0.500  0.310


Record 18
First-principles (GGA-PBE) data for a relaxed YCrAs3 crystal, as listed in the Alexandria database.

Calculated values
DFT formation energy = -143 meV per atom
V = 106.8 Å³/cell

abc: 4.744 4.744 4.744
angles: 90.00 90.00 90.00
Atoms (fractional coordinates):
Y  0.000  0.000  0.000
Cr  0.500  0.500  0.500
As  0.000  0.500  0.500
As  0.500  0.000  0.500
As  0.500  0.500  0.000


Record 19
First-principles (GGA-PBE) data for a relaxed YCr3As crystal, as listed in the Alexandria database.

Calculated values
DFT formation energy = 522 meV per atom
V = 95.6 Å³/cell

abc: 4.573 4.573 4.573
angles: 90.00 90.00 90.00
Atoms (fractional coordinates):
Y  0.000  0.000  0.000
Cr  0.000  0.500  0.500
Cr  0.500  0.000  0.500
Cr  0.500  0.500  0.000
As  0.500  0.500  0.500


Record 20
First-principles (GGA-PBE) data for a relaxed YCr2As crystal, as listed in the Alexandria database.

Calculated values
DFT formation energy = -281 meV per atom
V = 224.8 Å³/cell

abc: 4.130 4.130 15.217
angles: 90.00 90.00 120.00
Atoms (fractional coordinates):
Y  0.000  0.000  0.000
Y  0.333  0.667  0.667
Y  0.667  0.333  0.333
Cr  0.000  0.000  0.485
Cr  0.000  0.000  0.793
Cr  0.333  0.667  0.151
Cr  0.333  0.667  0.460
Cr  0.667  0.333  0.126
Cr  0.667  0.333  0.818
As  0.000  0.000  0.206
As  0.333  0.667  0.873
As  0.667  0.333  0.540


Record 21
First-principles (GGA-PBE) data for a relaxed YCr2As crystal, as listed in the Alexandria database.

Calculated values
DFT formation energy = 45 meV per atom
V = 152.2 Å³/cell

abc: 4.096 4.110 9.042
angles: 90.00 90.00 90.00
Atoms (fractional coordinates):
Y  0.000  0.000  0.000
Y  0.500  0.500  0.500
Cr  0.000  0.000  0.424
Cr  0.000  0.500  0.747
Cr  0.500  0.000  0.247
Cr  0.500  0.500  0.924
As  0.000  0.500  0.245
As  0.500  0.000  0.745


Record 22
First-principles (GGA-PBE) data for a relaxed YCr2As crystal, as listed in the Alexandria database.

Calculated values
DFT formation energy = 367 meV per atom
V = 243.3 Å³/cell

abc: 3.487 3.487 23.104
angles: 90.00 90.00 120.00
Atoms (fractional coordinates):
Y  0.000  0.000  0.000
Y  0.333  0.667  0.667
Y  0.667  0.333  0.333
Cr  0.000  0.000  0.228
Cr  0.000  0.000  0.772
Cr  0.333  0.667  0.438
Cr  0.333  0.667  0.895
Cr  0.667  0.333  0.105
Cr  0.667  0.333  0.562
As  0.000  0.000  0.500
As  0.333  0.667  0.167
As  0.667  0.333  0.833


Record 23
First-principles (GGA-PBE) data for a relaxed YCrAs crystal, as listed in the Alexandria database.

Calculated values
DFT formation energy = -251 meV per atom
V = 116.5 Å³/cell

abc: 3.370 3.370 10.256
angles: 90.00 90.00 90.00
Atoms (fractional coordinates):
Y  0.000  0.000  0.000
Y  0.500  0.500  0.500
Cr  0.000  0.000  0.301
Cr  0.500  0.500  0.801
As  0.000  0.000  0.703
As  0.500  0.500  0.203


Record 24
First-principles (GGA-PBE) data for a relaxed YCr3As crystal, as listed in the Alexandria database.

Calculated values
DFT formation energy = 2013 meV per atom
V = 120.1 Å³/cell

abc: 4.934 4.934 4.934
angles: 90.00 90.00 90.00
Atoms (fractional coordinates):
Y  0.000  0.000  0.000
Cr  0.000  0.000  0.500
Cr  0.000  0.500  0.000
Cr  0.500  0.000  0.000
As  0.500  0.500  0.500


Record 25
First-principles (GGA-PBE) data for a relaxed YCr2As crystal, as listed in the Alexandria database.

Calculated values
DFT formation energy = 161 meV per atom
V = 71.3 Å³/cell

abc: 4.203 4.203 4.034
angles: 90.00 90.00 90.00
Atoms (fractional coordinates):
Y  0.000  0.000  0.000
Cr  0.000  0.500  0.500
Cr  0.500  0.000  0.500
As  0.500  0.500  0.000


Record 26
First-principles (GGA-PBE) data for a relaxed Zn2CrAs crystal, as listed in the Alexandria database.

Calculated values
DFT formation energy = 101 meV per atom
V = 62.3 Å³/cell

abc: 3.818 3.818 4.274
angles: 90.00 90.00 90.00
Atoms (fractional coordinates):
Zn  0.000  0.500  0.000
Zn  0.500  0.000  0.000
Cr  0.000  0.000  0.500
As  0.500  0.500  0.500


Record 27
First-principles (GGA-PBE) data for a relaxed ZnCr2As2 crystal, as listed in the Alexandria database.

Calculated values
DFT formation energy = 57 meV per atom
V = 144.4 Å³/cell

abc: 6.814 6.814 3.110
angles: 90.00 90.00 90.00
Atoms (fractional coordinates):
Zn  0.000  0.000  0.000
Zn  0.500  0.500  0.000
Cr  0.141  0.359  0.000
Cr  0.359  0.859  0.000
Cr  0.641  0.141  0.000
Cr  0.859  0.641  0.000
As  0.153  0.653  0.500
As  0.347  0.153  0.500
As  0.653  0.847  0.500
As  0.847  0.347  0.500


Record 28
First-principles (GGA-PBE) data for a relaxed Zn2CrAs crystal, as listed in the Alexandria database.

Calculated values
DFT formation energy = 316 meV per atom
V = 62.2 Å³/cell

abc: 2.711 2.711 8.462
angles: 90.00 90.00 90.00
Atoms (fractional coordinates):
Zn  0.000  0.000  0.217
Zn  0.000  0.000  0.783
Cr  0.500  0.500  0.000
As  0.500  0.500  0.500


Record 29
First-principles (GGA-PBE) data for a relaxed ZnCrAs crystal, as listed in the Alexandria database.

Calculated values
DFT formation energy = 118 meV per atom
V = 215.8 Å³/cell

abc: 5.998 5.998 5.998
angles: 90.00 90.00 90.00
Atoms (fractional coordinates):
Zn  0.000  0.000  0.000
Zn  0.000  0.500  0.500
Zn  0.500  0.000  0.500
Zn  0.500  0.500  0.000
Cr  0.250  0.250  0.750
Cr  0.250  0.750  0.250
Cr  0.750  0.250  0.250
Cr  0.750  0.750  0.750
As  0.000  0.000  0.500
As  0.000  0.500  0.000
As  0.500  0.000  0.000
As  0.500  0.500  0.500